DFT (GGA-PBE) results for a geometry-optimized K2FeTe2 structure.

Calculated values
E_tot: -3.682 eV per atom
crystal system: tetragonal

```
K2FeTe2
1.0
7.681 0.000 0.000
0.000 7.681 0.000
0.000 0.000 5.452
Te K Fe
4 4 2
direct
0.824 0.676 0.000 Te
0.324 0.824 0.000 Te
0.676 0.176 0.000 Te
0.176 0.324 0.000 Te
0.353 0.147 0.500 K
0.647 0.853 0.500 K
0.147 0.647 0.500 K
0.853 0.353 0.500 K
0.000 0.000 0.000 Fe
0.500 0.500 0.000 Fe
```

---

DFT (GGA-PBE) results for a geometry-optimized KFeTe2 structure.

Calculated values
E_tot: -4.173 eV per atom
crystal system: orthorhombic

```
KFeTe2
1.0
6.370 -0.013 -0.001
1.692 6.141 0.001
-2.833 -4.640 3.319
Te K Fe
2 1 1
direct
0.578 0.578 0.000 Te
0.922 0.922 0.000 Te
0.250 0.750 0.500 K
0.750 0.250 0.500 Fe
```

---

DFT (GGA-PBE) results for a geometry-optimized KFeTe2 structure.

Calculated values
E_tot: -3.855 eV per atom
crystal system: tetragonal

```
KFeTe2
1.0
-0.346 -2.217 2.586
2.526 -1.910 -1.299
6.618 5.146 5.299
K Te Fe
1 2 1
direct
0.500 0.500 0.724 K
0.500 0.500 0.352 Te
0.000 0.000 0.984 Te
0.000 0.000 0.441 Fe
```

---

DFT (GGA-PBE) results for a geometry-optimized K3U3FeTe8 structure.

Calculated values
E_tot: -5.376 eV per atom
crystal system: trigonal

```
K3U3FeTe8
1.0
8.742 0.000 0.000
-4.371 7.567 -0.033
0.000 -5.003 8.487
Fe K Te U
1 3 8 3
direct
0.000 0.000 0.500 Fe
0.000 0.500 0.000 K
0.000 0.000 0.000 K
0.500 0.500 0.000 K
0.738 0.476 0.713 Te
0.223 0.447 0.695 Te
0.224 0.972 0.696 Te
0.777 0.553 0.305 Te
0.252 0.028 0.304 Te
0.262 0.524 0.287 Te
0.748 0.972 0.696 Te
0.776 0.028 0.304 Te
0.500 0.500 0.500 U
0.500 0.000 0.500 U
0.000 0.500 0.500 U
```

---

DFT (GGA-PBE) results for a geometry-optimized KTi2Fe structure.

Calculated values
E_tot: -5.293 eV per atom
crystal system: tetragonal
E above lowest polymorph: 0.0 meV/atom
formation enthalpy at 0 K: 1.045 eV/atom

```
KTi2Fe
1.0
7.001 0.000 0.000
0.000 7.001 0.000
3.500 3.500 5.062
K Ti Fe
2 4 2
direct
0.500 0.500 0.000 K
0.250 0.750 0.500 K
0.875 0.125 0.250 Ti
0.375 0.125 0.750 Ti
0.875 0.625 0.250 Ti
0.875 0.125 0.750 Ti
0.000 0.000 0.000 Fe
0.750 0.250 0.500 Fe
```

---

DFT (GGA-PBE) results for a geometry-optimized KTiFe2 structure.

Calculated values
E_tot: -5.357 eV per atom
crystal system: tetragonal
E above lowest polymorph: 0.0 meV/atom
formation enthalpy at 0 K: 1.122 eV/atom

```
KTiFe2
1.0
-3.424 -3.258 1.384
2.963 -1.584 3.601
-3.477 3.170 7.624
K Fe Ti
2 4 2
direct
0.250 0.750 0.500 K
0.500 0.500 0.000 K
0.875 0.125 0.250 Fe
0.375 0.125 0.750 Fe
0.875 0.125 0.750 Fe
0.875 0.625 0.250 Fe
0.000 0.000 0.000 Ti
0.750 0.250 0.500 Ti
```

---

Number 1: theoretical density 4.02 g/cm3. Number 2: theoretical density 4.47 g/cm3. Number 3: theoretical density 5.00 g/cm3. Number 4: theoretical density 5.66 g/cm3. Number 5: theoretical density 2.55 g/cm3. Number 6: theoretical density 3.29 g/cm3.